(1)
VASP calculation (GGA-PBE) on crystalline Ac2GaNi6Ge at its relaxed geometry.

Cell lengths 6.2921, 6.3091, 6.3554 Å; angles 60.92, 60.61, 60.21 degrees
Element x y z (fractional)
Ac  0.2168  0.2157  0.3509
Ac  0.7832  0.7843  0.6491
Ga  0.0000  0.0000  0.0000
Ni  0.2472  0.6389  0.8641
Ni  0.2486  0.2493  0.8588
Ni  0.3590  0.7503  0.1385
Ni  0.6410  0.2497  0.8615
Ni  0.7514  0.7507  0.1412
Ni  0.7528  0.3611  0.1359
Ge  0.5000  0.5000  0.5000

Properties
ΔH_f (0 K): -0.32 eV per atom
DOS(E_F): 8.0 states/eV/cell
raw total energy: -5.379 eV/atom
V: 18.1 Å³/atom

(2)
VASP calculation (GGA-PBE) on crystalline AcGa2NiGe at its relaxed geometry.

Cell lengths 6.1383, 6.1383, 6.1383 Å; angles 138.76, 138.49, 59.95 degrees
Element x y z (fractional)
Ac  0.0000  0.0000  0.0000
Ga  0.3724  0.3724  0.0000
Ga  0.7535  0.2535  0.5000
Ni  0.2452  0.7452  0.5000
Ge  0.6228  0.6228  0.0000

Properties
ΔH_f (0 K): -0.52 eV per atom
DOS(E_F): 1.6 states/eV/cell
raw total energy: -4.630 eV/atom
V: 20.0 Å³/atom

(3)
VASP calculation (GGA-PBE) on crystalline AcGa2Ni4Ge at its relaxed geometry.

Cell lengths 9.1908, 9.1908, 9.1908 Å; angles 25.84, 25.84, 25.84 degrees
Element x y z (fractional)
Ac  0.0000  0.0000  0.0000
Ga  0.2395  0.2395  0.2395
Ga  0.7605  0.7605  0.7605
Ni  0.1378  0.1378  0.1378
Ni  0.4122  0.4122  0.4122
Ni  0.5878  0.5878  0.5878
Ni  0.8622  0.8622  0.8622
Ge  0.5000  0.5000  0.5000

Properties
ΔH_f (0 K): -0.37 eV per atom
DOS(E_F): 6.2 states/eV/cell
raw total energy: -5.107 eV/atom
V: 16.2 Å³/atom